Entry 1:
Ti3Al2NiN: optimized geometry, PBEsol.

Properties
energy relative to the elements, uncorrected: -1022 meV/atom

a b c (Å): 11.2613 11.2613 11.2613
angles (deg): 90.00 90.00 90.00
Closest atoms and distances in Å follow each position.
Space group Fd-3m (No. 227, origin choice 2)
Unique sites:
Ti1 0.0606 0.3750 0.3750 (multiplicity 48)  2 N 2.10
Al1 0.0420 0.0420 0.7080 (multiplicity 32)  3 Ni 2.44, 3 Al 2.64, 3 Ti 2.67
Ni1 0.0000 0.0000 0.5000 (multiplicity 16)  6 Al 2.44
N1 0.0000 0.0000 0.0000 (multiplicity 16)  6 Ti 2.10


Entry 2:
Al17N3O21: optimized geometry, PBEsol.

Properties
energy relative to the elements, uncorrected: -2798 meV/atom

a b c (Å): 5.6725 7.9417 9.6614
angles (deg): 113.43 107.07 90.45
Closest atoms and distances in Å follow each position.
Space group P1 (No. 1)
Unique sites:
Al1 0.0000 0.0000 0.0000 (multiplicity 1)  6 O 1.83-2.00
Al2 0.0089 0.0050 0.4806 (multiplicity 1)  4 O 1.86-1.94, 1 N 1.93
Al3 0.0963 0.7115 0.6592 (multiplicity 1)  1 N 1.82, 3 O 1.84-1.87
Al4 0.1599 0.6794 0.3151 (multiplicity 1)  6 O 1.84-1.99
Al5 0.1709 0.1658 0.8189 (multiplicity 1)  1 N 1.86, 5 O 1.89-1.95
Al6 0.2430 0.6371 0.9856 (multiplicity 1)  4 O 1.76-1.82
Al7 0.3348 0.3397 0.6568 (multiplicity 1)  2 N 1.90, 4 O 1.95-2.01
Al8 0.3442 0.3427 0.1635 (multiplicity 1)  1 N 1.86, 5 O 1.91-1.97
Al9 0.4288 0.0440 0.3304 (multiplicity 1)  4 O 1.76-1.84
Al10 0.5029 0.5141 0.4935 (multiplicity 1)  2 N 1.90, 4 O 1.91-1.99
Al11 0.5124 0.0020 0.0009 (multiplicity 1)  6 O 1.83-2.01
Al12 0.5727 0.9682 0.6551 (multiplicity 1)  1 N 1.81, 3 O 1.82-1.86
Al13 0.6619 0.6738 0.8334 (multiplicity 1)  5 O 1.87-2.04, 1 N 1.92
Al14 0.6731 0.6730 0.3175 (multiplicity 1)  5 O 1.87-2.02, 1 N 1.92
Al15 0.7580 0.3745 0.9962 (multiplicity 1)  4 O 1.75-1.84
Al16 0.8352 0.3402 0.6579 (multiplicity 1)  6 O 1.90-1.94
Al17 0.9084 0.3087 0.3226 (multiplicity 1)  3 O 1.78-1.84, 1 N 1.81
N1 0.3145 0.1015 0.6574 (multiplicity 1)  4 Al 1.81-1.93
N2 0.3567 0.5785 0.6577 (multiplicity 1)  4 Al 1.82-1.92
N3 0.6470 0.4374 0.3279 (multiplicity 1)  4 Al 1.81-1.92
O1 0.0271 0.2465 0.9912 (multiplicity 1)  4 Al 1.84-2.00
O2 0.1563 0.4104 0.8170 (multiplicity 1)  4 Al 1.82-1.99
O3 0.1710 0.9380 0.8380 (multiplicity 1)  4 Al 1.87-2.01
O4 0.1729 0.9179 0.3304 (multiplicity 1)  3 Al 1.76-1.86
O5 0.1814 0.4322 0.3209 (multiplicity 1)  4 Al 1.83-1.99
O6 0.3305 0.0887 0.1501 (multiplicity 1)  4 Al 1.84-1.97
O7 0.3328 0.5901 0.1616 (multiplicity 1)  4 Al 1.81-1.98
O8 0.4816 0.2471 0.9909 (multiplicity 1)  4 Al 1.84-1.99
O9 0.4933 0.7475 0.4799 (multiplicity 1)  4 Al 1.82-2.02
O10 0.4962 0.7640 0.9834 (multiplicity 1)  3 Al 1.76-1.87
O11 0.5140 0.2675 0.5023 (multiplicity 1)  4 Al 1.82-1.99
O12 0.6748 0.4238 0.8210 (multiplicity 1)  4 Al 1.82-2.01
O13 0.6760 0.9260 0.8380 (multiplicity 1)  4 Al 1.86-1.99
O14 0.6832 0.9193 0.3417 (multiplicity 1)  3 Al 1.76-1.87
O15 0.8270 0.5822 0.6610 (multiplicity 1)  4 Al 1.84-2.04
O16 0.8299 0.1013 0.1434 (multiplicity 1)  3 Al 1.78-1.85
O17 0.8444 0.5832 0.1683 (multiplicity 1)  3 Al 1.75-1.88
O18 0.8463 0.1016 0.6630 (multiplicity 1)  3 Al 1.84-1.92
O19 0.9864 0.7593 0.9748 (multiplicity 1)  3 Al 1.76-1.87
O20 0.9980 0.2544 0.4976 (multiplicity 1)  4 Al 1.84-1.98
O21 0.9989 0.7604 0.4802 (multiplicity 1)  4 Al 1.85-1.96


Computed V (Å³ per cell) in order:
1428; 378
Computed total magnetization (μB/cell) in order:
0.00; 0.01